Crystalline CaCdNiIr2 at its relaxed geometry, computed with PBE-GGA.

Unit cell a=4.790 b=4.790 c=5.197 alpha=90.00 beta=90.00 gamma=90.00
Each line ends with the local moment (μB).
Atoms (fractional coordinates):
Ca 0.000 0.000 0.000  0.00
Ir 0.500 0.000 0.000  0.47
Ir 0.000 0.500 0.000  0.47
Cd 0.000 0.000 0.500  0.01
Ni 0.500 0.500 0.500  0.91

Calculated values
E_form: 1010.0 kJ/mol of formula units
spin magnetization: 0.357 μB/atom
electronic total energy: -3.190 eV per atom